Entry 1:
Entry from Alexandria: crystalline SrZn2CuAu at its relaxed geometry (PBE-GGA).

Summary:
- SG: No. 123
- Magnetic moment: 0.000 μB/cell
- Formation energy: -17.1 kJ per mole of atoms

a = 4.6399 Å, b = 4.6399 Å, c = 5.0331 Å
α = 90.00°, β = 90.00°, γ = 90.00°
Sites, in units of the cell vectors:
1 Au 0.0000 0.0000 0.5000
2 Cu 0.0000 0.0000 0.0000
3 Zn 0.0000 0.5000 0.0000
4 Zn 0.5000 0.0000 0.0000
5 Sr 0.5000 0.5000 0.5000

***

Entry 2:
Entry from Alexandria: crystalline SrMgMnTc2 at its relaxed geometry (PBE-GGA).

Summary:
- SG: No. 123
- Magnetic moment: 4.169 μB/cell
- Formation energy: 218.3 kJ per mole of atoms

a = 4.7398 Å, b = 5.2544 Å, c = 4.7398 Å
α = 90.00°, β = 90.00°, γ = 90.00°
Last column: magnetic moment on the atom in μB.
Sites, in units of the cell vectors:
1 Mn 0.5000 0.5000 0.5000  0.29
2 Mg 0.0000 0.0000 0.0000  -0.02
3 Tc 0.0000 0.0000 0.5000  1.68
4 Tc 0.5000 0.0000 0.0000  1.74
5 Sr 0.0000 0.5000 0.0000  0.00